1.
Cr2AgPt PBE relaxed; electronic total energy = -6.828 eV per atom; crystal system = orthorhombic; SG = Amm2 (38)
1.0
-2.175 -1.769 3.109
2.411 -0.329 1.500
0.506 4.447 2.884
Pt Ag Cr
1 1 2
direct
0.000 0.454 0.467
0.500 0.801 0.773
0.500 0.061 0.253
0.000 0.184 0.008

***

2.
Cr2AgPt PBE relaxed; electronic total energy = -6.719 eV per atom; crystal system = monoclinic; SG = C2/m (12)
1.0
4.819 0.001 0.004
3.986 2.708 0.004
0.908 0.279 4.677
Cr Pt Ag
2 1 1
direct
0.493 0.493 0.581
0.007 0.007 0.919
0.750 0.750 0.750
0.250 0.250 0.250

***

3.
CrAgPt3 PBE relaxed; crystal system = cubic; excess energy over the best structure of this formula in the dataset = 0 meV per atom; SG = Pm-3m (221)
1.0
4.599 0.000 0.000
0.000 4.599 0.000
0.000 0.000 4.599
Ag Pt Cr
1 3 1
direct
0.500 0.500 0.500
0.000 0.500 0.000
0.000 0.000 0.500
0.500 0.000 0.000
0.000 0.000 0.000

***

4.
Cr2AgPt PBE relaxed; electronic total energy = -6.202 eV per atom; crystal system = tetragonal; SG = I-42d (122)
1.0
7.001 0.000 0.000
0.000 7.001 0.000
3.501 3.501 2.584
Pt Cr Ag
2 4 2
direct
0.750 0.250 0.500
0.000 0.000 0.000
0.375 0.346 0.750
0.875 0.904 0.750
0.654 0.125 0.250
0.096 0.625 0.250
0.250 0.750 0.500
0.500 0.500 0.000